The following is a GGA-PBEsol calculation of a relaxed structure of Cs3Cr2I9, from Alexandria.

a = 10.425 Å, b = 10.425 Å, c = 10.425 Å
α = 81.67°, β = 81.67°, γ = 81.67°
Last column: magnetic moment on the atom in μB.
Element x y z (fractional)
Cs (0.911, 0.250, 0.589)  0.00
Cs (0.250, 0.589, 0.911)  0.00
Cs (0.589, 0.911, 0.250)  0.00
Cs (0.089, 0.750, 0.411)  0.00
Cs (0.750, 0.411, 0.089)  0.00
Cs (0.411, 0.089, 0.750)  0.00
Cr (0.836, 0.836, 0.836)  2.96
Cr (0.664, 0.664, 0.664)  2.96
Cr (0.164, 0.164, 0.164)  2.96
Cr (0.336, 0.336, 0.336)  2.96
I (0.406, 0.250, 0.094)  -0.06
I (0.250, 0.094, 0.406)  -0.06
I (0.094, 0.406, 0.250)  -0.06
I (0.594, 0.750, 0.906)  -0.06
I (0.750, 0.906, 0.594)  -0.06
I (0.906, 0.594, 0.750)  -0.06
I (0.930, 0.093, 0.260)  -0.03
I (0.093, 0.260, 0.930)  -0.03
I (0.260, 0.930, 0.093)  -0.03
I (0.240, 0.407, 0.570)  -0.03
I (0.407, 0.570, 0.240)  -0.03
I (0.570, 0.240, 0.407)  -0.03
I (0.070, 0.907, 0.740)  -0.03
I (0.907, 0.740, 0.070)  -0.03
I (0.740, 0.070, 0.907)  -0.03
I (0.760, 0.593, 0.430)  -0.03
I (0.593, 0.430, 0.760)  -0.03
I (0.430, 0.760, 0.593)  -0.03

Output
Offset from the most stable computed form, eV/atom: 0.014